(1)
## TlInGe2 (PBE-GGA)

Data for an optimized crystal structure of TlInGe2.

Results
Size of the total moment ... 0.00 Bohr magnetons per cell
Formation energy ... 0.28 eV/atom
Energy above the most stable polymorph in this dataset ... 5 meV per atom

The structure in CIF format:
```
data_TlInGe2
_chemical_formula_sum 'Tl3 In3 Ge6'
_cell_length_a 4.1063
_cell_length_b 4.1063
_cell_length_c 20.9411
_cell_angle_alpha 90.00
_cell_angle_beta 90.00
_cell_angle_gamma 120.00
_space_group_name_H-M_alt 'R -3 m'
_space_group_IT_number 166
_space_group_name_Hall '-R 3 2"'
loop_
_atom_site_label
_atom_site_type_symbol
_atom_site_fract_x
_atom_site_fract_y
_atom_site_fract_z
Tl1 Tl 0.0000 0.0000 0.0000
In1 In 0.0000 0.0000 0.5000
Ge1 Ge 0.0000 0.0000 0.2397
```

***

(2)
## Pm9AlIn2 (PBE-GGA)

Data for an optimized crystal structure of Pm9AlIn2.

Results
Size of the total moment ... 0.04 Bohr magnetons per cell
Formation energy ... -0.24 eV/atom

The structure in CIF format:
```
data_Pm9AlIn2
_chemical_formula_sum 'Pm9 Al1 In2'
_cell_length_a 4.9279
_cell_length_b 4.9279
_cell_length_c 14.7811
_cell_angle_alpha 90.00
_cell_angle_beta 90.00
_cell_angle_gamma 90.00
_space_group_name_H-M_alt 'P 4/m m m'
_space_group_IT_number 123
_space_group_name_Hall '-P 4 2'
loop_
_atom_site_label
_atom_site_type_symbol
_atom_site_fract_x
_atom_site_fract_y
_atom_site_fract_z
Pm1 Pm 0.0000 0.0000 0.0000
Pm2 Pm 0.0000 0.0000 0.3304
Pm3 Pm 0.0000 0.5000 0.1614
Pm4 Pm 0.0000 0.5000 0.5000
Al1 Al 0.5000 0.5000 0.0000
In1 In 0.5000 0.5000 0.3320
```